DFT (GGA-PBE) results for a relaxed structure of AcZrAlS6.

```
AcZrAlS6
1.0
6.4333 0.0000 0.0000
-3.2167 5.5714 0.0000
0.0000 0.0000 6.4564
Ac Zr Al S
1 1 1 6
Direct
0.0000 0.0000 0.0000
0.3333 0.6667 0.5000
0.6667 0.3333 0.5000
0.3800 0.0171 0.7217
0.3800 0.3629 0.2783
0.6371 0.0171 0.2783
0.6371 0.6200 0.7217
0.9829 0.3629 0.7217
0.9829 0.6200 0.2783
```

Spin magnetization, Bohr magnetons per cell: 1.50
ΔE_f (raw), eV per atom: -1.114
SG: P312

DFT (GGA-PBE) results for a relaxed structure of MnV2Se4S2.

```
MnV2Se4S2
1.0
3.2716 0.0000 0.0000
-1.6358 2.8333 0.0000
0.0000 0.0000 20.5752
Mn V Se S
1 2 4 2
Direct
0.0000 0.0000 0.0000
0.0000 0.0000 0.6574
0.6667 0.3333 0.3180
0.0000 0.0000 0.2393
0.0000 0.0000 0.3967
0.6667 0.3333 0.5787
0.6667 0.3333 0.7362
0.6667 0.3333 0.0659
0.6667 0.3333 0.9340
```

Spin magnetization, Bohr magnetons per cell: 3.20
ΔE_f (raw), eV per atom: -0.594
SG: P3m1

DFT (GGA-PBE) results for a relaxed structure of CaSbAs2.

```
CaSbAs2
1.0
5.8471 -1.9880 0.0000
5.8471 1.9880 0.0000
-0.4910 0.0000 4.4442
Ca Sb As
1 1 2
Direct
0.0000 0.0000 0.0000
0.2473 0.2473 0.5441
0.4705 0.4705 0.4944
0.7273 0.7273 0.9521
```

Spin magnetization, Bohr magnetons per cell: 0.00
ΔE_f (raw), eV per atom: -0.446
SG: Cm

DFT (GGA-PBE) results for a relaxed structure of GaAs2H.

```
GaAs2H
1.0
2.0111 1.1611 5.9774
-2.0111 1.1611 5.9774
0.0000 -2.3222 5.9774
Ga As H
1 2 1
Direct
0.0000 0.0000 0.0000
0.4007 0.4007 0.4007
0.5993 0.5993 0.5993
0.5000 0.5000 0.5000
```

Spin magnetization, Bohr magnetons per cell: 0.00
SG: R-3m
Offset from the most stable computed form, meV/atom: 179.4

DFT (GGA-PBE) results for a relaxed structure of CaLaBr2.

```
CaLaBr2
1.0
3.8397 0.0000 0.0000
0.0000 5.8952 0.0000
-1.0042 0.0000 5.5455
Ca La Br
1 1 2
Direct
0.0000 0.0000 0.0000
0.5308 0.5000 0.6073
0.5834 0.0000 0.4204
0.9100 0.5000 0.1495
```

Spin magnetization, Bohr magnetons per cell: 0.14
ΔE_f (raw), eV per atom: -1.148
SG: Pm
Offset from the most stable computed form, meV/atom: 147.8

DFT (GGA-PBE) results for a relaxed structure of CdAg6Hg.

```
CdAg6Hg
1.0
5.9443 0.0000 0.0000
-2.9722 5.1479 0.0000
0.0000 0.0000 4.8780
Cd Ag Hg
1 6 1
Direct
0.0000 0.0000 0.0000
0.3351 0.1675 0.5000
0.5021 0.0041 0.0000
0.5021 0.4979 0.0000
0.8325 0.1675 0.5000
0.8325 0.6649 0.5000
0.9959 0.4979 0.0000
0.3333 0.6667 0.5000
```

Spin magnetization, Bohr magnetons per cell: 0.00
SG: P-6m2
Calculated formation energy, eV/atom: -0.009
Offset from the most stable computed form, meV/atom: 0.0

DFT (GGA-PBE) results for a relaxed structure of BaTl6In2.

```
BaTl6In2
1.0
6.2150 -7.4655 0.0000
6.2150 7.4655 0.0000
-2.0907 0.0000 6.2300
Ba Tl In
2 12 4
Direct
0.1082 0.8918 0.7500
0.8918 0.1082 0.2500
0.0572 0.2663 0.8223
0.1052 0.4716 0.3408
0.2483 0.6204 0.9699
0.2663 0.0572 0.3223
0.3796 0.7517 0.5301
0.4716 0.1052 0.8408
0.5284 0.8948 0.1592
0.6204 0.2483 0.4699
0.7337 0.9428 0.6777
0.7517 0.3796 0.0301
0.8948 0.5284 0.6592
0.9428 0.7337 0.1777
0.3617 0.3738 0.6639
0.3738 0.3617 0.1639
0.6262 0.6383 0.8361
0.6383 0.6262 0.3361
```

Spin magnetization, Bohr magnetons per cell: 0.00
SG: C2/c
Calculated formation energy, eV/atom: -0.093
Offset from the most stable computed form, meV/atom: 0.0

DFT (GGA-PBE) results for a relaxed structure of Cs2MgZnF6.

```
Cs2MgZnF6
1.0
3.0998 1.7897 10.0217
-3.0998 1.7897 10.0217
0.0000 -3.5793 10.0217
Cs Mg Zn F
4 2 2 12
Direct
0.1294 0.1294 0.1294
0.2858 0.2858 0.2858
0.7142 0.7142 0.7142
0.8706 0.8706 0.8706
0.4066 0.4066 0.4066
0.5934 0.5934 0.5934
0.0000 0.0000 0.0000
0.5000 0.5000 0.5000
0.1700 0.5955 0.5955
0.2066 0.2066 0.7041
0.2066 0.7041 0.2066
0.2959 0.7934 0.7934
0.4045 0.4045 0.8300
0.4045 0.8300 0.4045
0.5955 0.1700 0.5955
0.5955 0.5955 0.1700
0.7041 0.2066 0.2066
0.7934 0.2959 0.7934
0.7934 0.7934 0.2959
0.8300 0.4045 0.4045
```

Spin magnetization, Bohr magnetons per cell: 0.00
ΔE_f (raw), eV per atom: -2.871
SG: R-3m

DFT (GGA-PBE) results for a relaxed structure of Ba4SmS5.

```
Ba4SmS5
1.0
-4.9525 4.9525 3.1593
4.9525 -4.9525 3.1593
4.9525 4.9525 -3.1593
Ba Sm S
4 1 5
Direct
0.0966 0.6998 0.7964
0.3002 0.0966 0.3968
0.6998 0.9034 0.6032
0.9034 0.3002 0.2036
0.4790 0.4790 0.0000
0.0236 0.0236 0.0000
0.2240 0.4072 0.6320
0.4072 0.7752 0.1832
0.5920 0.2240 0.8168
0.7752 0.5920 0.3680
```

Spin magnetization, Bohr magnetons per cell: 0.00
ΔE_f (raw), eV per atom: -2.018
SG: I4

DFT (GGA-PBE) results for a relaxed structure of SnBiPbAu.

```
SnBiPbAu
1.0
4.1919 0.0000 0.0000
-2.0959 3.6303 0.0000
0.0000 0.0000 7.8361
Sn Bi Pb Au
1 1 1 1
Direct
0.0000 0.0000 0.0000
0.3333 0.6667 0.2445
0.0000 0.0000 0.5688
0.3333 0.6667 0.7938
```

Spin magnetization, Bohr magnetons per cell: 0.00
SG: P3m1
Calculated formation energy, eV/atom: 0.032

DFT (GGA-PBE) results for a relaxed structure of LiThAgI6.

```
LiThAgI6
1.0
7.3548 0.0000 0.0000
0.0000 7.3548 0.0000
0.0000 0.0000 13.2638
Li Th Ag I
2 2 2 12
Direct
0.0000 0.0000 0.0000
0.5000 0.5000 0.5000
0.0000 0.0000 0.3308
0.5000 0.5000 0.8308
0.0000 0.0000 0.6580
0.5000 0.5000 0.1580
0.1999 0.1999 0.1604
0.2013 0.2013 0.8312
0.2064 0.2064 0.4970
0.2936 0.7064 0.9970
0.2987 0.7013 0.3312
0.3001 0.6999 0.6604
0.6999 0.3001 0.6604
0.7013 0.2987 0.3312
0.7064 0.2936 0.9970
0.7936 0.7936 0.4970
0.7987 0.7987 0.8312
0.8001 0.8001 0.1604
```

Spin magnetization, Bohr magnetons per cell: 0.00
ΔE_f (raw), eV per atom: -0.955
SG: P4_2nm

DFT (GGA-PBE) results for a relaxed structure of CsPbO2F.

```
CsPbO2F
1.0
4.3582 0.0000 0.0000
0.0000 4.3582 0.0000
0.0000 0.0000 4.8821
Cs Pb O F
1 1 2 1
Direct
0.0000 0.0000 0.0000
0.5000 0.5000 0.5000
0.0000 0.5000 0.5000
0.5000 0.0000 0.5000
0.5000 0.5000 0.0000
```

Spin magnetization, Bohr magnetons per cell: 0.31
ΔE_f (raw), eV per atom: -1.392
SG: P4/mmm